# 1
First-principles (PBE) data for Sm2CuI2 after structural relaxation, as listed in the Alexandria database.

a = 12.076 Å, b = 12.076 Å, c = 12.076 Å
α = 19.81°, β = 19.81°, γ = 19.81°
Sites, in units of the cell vectors:
Sm 0.120 0.120 0.120
Sm 0.880 0.880 0.880
Cu 0.500 0.500 0.500
I 0.274 0.274 0.274
I 0.726 0.726 0.726

Formation energy (no corrections) ... -0.794 eV per atom

# 2
First-principles (PBE) data for SmCuI after structural relaxation, as listed in the Alexandria database.

a = 10.388 Å, b = 10.388 Å, c = 4.295 Å
α = 90.00°, β = 90.00°, γ = 157.75°
Sites, in units of the cell vectors:
Sm 0.075 0.925 0.750
Sm 0.925 0.075 0.250
Cu 0.472 0.528 0.750
Cu 0.528 0.472 0.250
I 0.337 0.663 0.750
I 0.663 0.337 0.250

Formation energy (no corrections) ... -0.668 eV per atom

# 3
First-principles (PBE) data for Sm2CuI after structural relaxation, as listed in the Alexandria database.

a = 8.143 Å, b = 8.143 Å, c = 8.143 Å
α = 29.67°, β = 29.67°, γ = 29.67°
Sites, in units of the cell vectors:
Sm 0.233 0.233 0.233
Sm 0.767 0.767 0.767
Cu 0.500 0.500 0.500
I 0.000 0.000 0.000

Excess energy over the best structure of this formula in the dataset ... 0.0 kJ/mol of atoms
Formation energy (no corrections) ... -0.494 eV per atom